1.
TaSbIr2 at its PBEsol-relaxed geometry. Source: the Alexandria database, functional meta-GGA SCAN.

Computed properties:
energy relative to the elements, uncorrected: 0.3 eV per formula unit
total magnetic moment: 0.00 μB per cell
uncorrected energy: -61.432 eV per atom
space-group type: P4mm, No. 99
N(E_F): 1.989 states/eV per cell

a = 3.014 Å, b = 3.014 Å, c = 7.317 Å
α = 90.00°, β = 90.00°, γ = 90.00°
Positions (direct):
Ta1 0.000 0.000 0.000
Sb1 0.500 0.500 0.714
Ir1 0.000 0.000 0.488
Ir2 0.500 0.500 0.221



2.
Ca2PCl at its PBEsol-relaxed geometry. Source: the Alexandria database, functional meta-GGA SCAN.

Computed properties:
energy relative to the elements, uncorrected: -6.6 eV per formula unit
total magnetic moment: 0.00 μB per cell
uncorrected energy: -11.076 eV per atom
space-group type: P2/m, No. 10

a = 3.697 Å, b = 3.583 Å, c = 7.324 Å
α = 90.00°, β = 90.10°, γ = 90.00°
Positions (direct):
Ca1 0.002 0.000 0.201
Ca2 0.998 0.000 0.799
P1 0.500 0.500 0.000
Cl1 0.000 0.500 0.500



3.
CaTeO3 at its PBEsol-relaxed geometry. Source: the Alexandria database, functional meta-GGA SCAN.

Computed properties:
energy relative to the elements, uncorrected: -10.6 eV per formula unit
total magnetic moment: 0.00 μB per cell
uncorrected energy: -15.237 eV per atom
space-group type: P2_1/c, No. 14
N(E_F): 0.000 states/eV per cell

a = 6.432 Å, b = 6.907 Å, c = 8.383 Å
α = 90.00°, β = 126.28°, γ = 90.00°
Positions (direct):
Ca1 0.134 0.120 0.370
Ca2 0.134 0.380 0.870
Ca3 0.866 0.620 0.130
Ca4 0.866 0.880 0.630
Te1 0.381 0.672 0.602
Te2 0.381 0.828 0.102
Te3 0.619 0.172 0.898
Te4 0.619 0.328 0.398
O1 0.071 0.682 0.973
O2 0.071 0.818 0.473
O3 0.218 0.036 0.923
O4 0.218 0.464 0.423
O5 0.406 0.582 0.827
O6 0.406 0.918 0.327
O7 0.594 0.082 0.673
O8 0.594 0.418 0.173
O9 0.782 0.536 0.577
O10 0.782 0.964 0.077
O11 0.929 0.182 0.527
O12 0.929 0.318 0.027



4.
La2Hg3 at its PBEsol-relaxed geometry. Source: the Alexandria database, functional meta-GGA SCAN.

Computed properties:
formation enthalpy at 0 K: -0.64 eV/atom
total magnetic moment: 0.00 μB per cell
uncorrected energy: -58.785 eV per atom
space-group type: Fdd2, No. 43
N(E_F): 9.181 states/eV per cell

a = 8.615 Å, b = 6.197 Å, c = 9.653 Å
α = 61.35°, β = 39.14°, γ = 79.51°
Positions (direct):
La1 0.132 0.868 0.261
La2 0.511 0.989 0.382
La3 0.868 0.132 0.739
La4 0.989 0.511 0.118
Hg1 0.148 0.148 0.852
Hg2 0.398 0.398 0.102
Hg3 0.463 0.569 0.306
Hg4 0.569 0.463 0.662
Hg5 0.588 0.944 0.681
Hg6 0.944 0.588 0.787



no.,ρ (Mg/m³),V (Å³/f.u.)
1,17.167,66.47
2,2.509,97.00
3,4.772,75.05
4,10.889,134.13